[1]
First-principles (PBE) data for crystalline Pm3GeH2 at its relaxed geometry, as listed in Alexandria.

Computed properties:
For the energy, the calculation gives -4.78 eV/atom. The density of states at the Fermi level is 3.826 states/eV/f.u.

POSCAR file:
```
Pm3GeH2
1.0
4.984 0.000 0.000
0.000 12.229 0.000
0.000 0.000 3.964
Pm Ge H
6 2 4
Cartesian
1.246 0.712 0.967 Pm
1.246 5.402 0.967 Pm
1.246 9.172 2.761 Pm
3.738 3.057 1.203 Pm
3.738 6.827 2.997 Pm
3.738 11.517 2.997 Pm
1.246 3.057 3.012 Ge
3.738 9.172 0.952 Ge
1.246 6.776 2.933 H
1.246 11.568 2.933 H
3.738 0.661 1.031 H
3.738 5.453 1.031 H
```

=====

[2]
First-principles (PBE) data for crystalline Pm4Pr2Ge3H2 at its relaxed geometry, as listed in Alexandria.

Computed properties:
For the energy, the calculation gives -5.05 eV/atom. The density of states at the Fermi level is 10.434 states/eV/f.u.

POSCAR file:
```
Pm4Pr2Ge3H2
1.0
-2.341 2.341 12.205
2.341 -2.341 12.205
2.341 2.341 -12.205
Pm Pr Ge H
4 2 3 2
Cartesian
2.341 0.000 1.952 Pm
2.341 0.000 10.252 Pm
0.000 2.341 1.952 Pm
0.000 2.341 10.252 Pm
0.000 0.000 4.939 Pr
0.000 0.000 19.470 Pr
0.000 0.000 8.036 Ge
0.000 0.000 12.205 Ge
0.000 0.000 16.374 Ge
0.000 0.000 2.439 H
0.000 0.000 21.971 H
```

=====

Copy entry 2 word for word.
First-principles (PBE) data for crystalline Pm4Pr2Ge3H2 at its relaxed geometry, as listed in Alexandria.

Computed properties:
For the energy, the calculation gives -5.05 eV/atom. The density of states at the Fermi level is 10.434 states/eV/f.u.

POSCAR file:
```
Pm4Pr2Ge3H2
1.0
-2.341 2.341 12.205
2.341 -2.341 12.205
2.341 2.341 -12.205
Pm Pr Ge H
4 2 3 2
Cartesian
2.341 0.000 1.952 Pm
2.341 0.000 10.252 Pm
0.000 2.341 1.952 Pm
0.000 2.341 10.252 Pm
0.000 0.000 4.939 Pr
0.000 0.000 19.470 Pr
0.000 0.000 8.036 Ge
0.000 0.000 12.205 Ge
0.000 0.000 16.374 Ge
0.000 0.000 2.439 H
0.000 0.000 21.971 H
```

=====

Repeat the second record exactly.
First-principles (PBE) data for crystalline Pm4Pr2Ge3H2 at its relaxed geometry, as listed in Alexandria.

Computed properties:
For the energy, the calculation gives -5.05 eV/atom. The density of states at the Fermi level is 10.434 states/eV/f.u.

POSCAR file:
```
Pm4Pr2Ge3H2
1.0
-2.341 2.341 12.205
2.341 -2.341 12.205
2.341 2.341 -12.205
Pm Pr Ge H
4 2 3 2
Cartesian
2.341 0.000 1.952 Pm
2.341 0.000 10.252 Pm
0.000 2.341 1.952 Pm
0.000 2.341 10.252 Pm
0.000 0.000 4.939 Pr
0.000 0.000 19.470 Pr
0.000 0.000 8.036 Ge
0.000 0.000 12.205 Ge
0.000 0.000 16.374 Ge
0.000 0.000 2.439 H
0.000 0.000 21.971 H
```

=====

Question: Which of these has the lowest energy?
Answer: Pm4Pr2Ge3H2